# 1
The following is a DFT calculation (PBE-GGA) of an optimized crystal structure of Zr2GeW2.

Cell lengths 7.014, 7.014, 4.016 Å; angles 90.00, 90.00, 90.00 degrees
Atoms (fractional coordinates):
Zr1 0.148 0.352 0.000
Zr2 0.352 0.852 0.000
Zr3 0.648 0.148 0.000
Zr4 0.852 0.648 0.000
Ge1 0.000 0.000 0.000
Ge2 0.500 0.500 0.000
W1 0.163 0.663 0.500
W2 0.337 0.163 0.500
W3 0.663 0.837 0.500
W4 0.837 0.337 0.500

Energy relative to the elements   3.54 eV/f.u.
SG   No. 127
DOS at the Fermi energy   1.457 states/eV per atom
ΔE to the lowest computed polymorph   336 meV/atom

---

# 2
The following is a DFT calculation (PBE-GGA) of an optimized crystal structure of YGa2Ru2.

Cell lengths 4.246, 4.246, 10.227 Å; angles 90.00, 90.00, 90.00 degrees
Atoms (fractional coordinates):
Y1 0.000 0.000 0.000
Y2 0.500 0.500 0.500
Ga1 0.000 0.500 0.250
Ga2 0.000 0.500 0.750
Ga3 0.500 0.000 0.250
Ga4 0.500 0.000 0.750
Ru1 0.000 0.000 0.384
Ru2 0.000 0.000 0.616
Ru3 0.500 0.500 0.116
Ru4 0.500 0.500 0.884

Energy relative to the elements   -1.88 eV/f.u.
SG   No. 139
DOS at the Fermi energy   0.790 states/eV per atom

---

# 3
The following is a DFT calculation (PBE-GGA) of an optimized crystal structure of CaLa4Nd5.

Cell lengths 3.744, 3.744, 26.101 Å; angles 90.00, 90.00, 90.00 degrees
Atoms (fractional coordinates):
Ca1 0.000 0.000 0.000
La1 0.000 0.000 0.201
La2 0.000 0.000 0.401
La3 0.000 0.000 0.599
La4 0.000 0.000 0.799
Nd1 0.500 0.500 0.106
Nd2 0.500 0.500 0.302
Nd3 0.500 0.500 0.500
Nd4 0.500 0.500 0.698
Nd5 0.500 0.500 0.894

Energy relative to the elements   0.24 eV/f.u.
SG   No. 123
DOS at the Fermi energy   1.712 states/eV per atom
ΔE to the lowest computed polymorph   0 meV/atom

---

# 4
The following is a DFT calculation (PBE-GGA) of an optimized crystal structure of ZnFe4S8.

Cell lengths 7.222, 7.222, 7.222 Å; angles 53.78, 53.78, 53.78 degrees
Atoms (fractional coordinates):
Zn1 0.000 0.000 0.000
Fe1 0.000 0.000 0.500
Fe2 0.000 0.500 0.000
Fe3 0.500 0.000 0.000
Fe4 0.500 0.500 0.500
S1 0.229 0.742 0.742
S2 0.236 0.236 0.236
S3 0.258 0.258 0.771
S4 0.258 0.771 0.258
S5 0.742 0.229 0.742
S6 0.742 0.742 0.229
S7 0.764 0.764 0.764
S8 0.771 0.258 0.258

SG   No. 166
DOS at the Fermi energy   0.723 states/eV per atom
ΔE to the lowest computed polymorph   0 meV/atom
Raw formation energy   -325 meV per atom

---

# 5
The following is a DFT calculation (PBE-GGA) of an optimized crystal structure of YZrSe2Br.

Cell lengths 5.230, 5.230, 5.137 Å; angles 90.00, 90.00, 90.00 degrees
Atoms (fractional coordinates):
Y1 0.000 0.000 0.000
Zr1 0.500 0.500 0.500
Se1 0.000 0.500 0.500
Se2 0.500 0.000 0.500
Br1 0.500 0.500 0.000

SG   No. 123
DOS at the Fermi energy   0.868 states/eV per atom
ΔE to the lowest computed polymorph   0 meV/atom
Raw formation energy   -773 meV per atom

---

# 6
The following is a DFT calculation (PBE-GGA) of an optimized crystal structure of TmLu2Tl.

Cell lengths 4.773, 4.773, 4.764 Å; angles 90.00, 90.00, 90.00 degrees
Atoms (fractional coordinates):
Tm1 0.000 0.000 0.000
Lu1 0.000 0.500 0.500
Lu2 0.500 0.000 0.500
Tl1 0.500 0.500 0.000

Energy relative to the elements   -0.59 eV/f.u.
SG   No. 123
DOS at the Fermi energy   1.223 states/eV per atom
ΔE to the lowest computed polymorph   9 meV/atom

---

# 7
The following is a DFT calculation (PBE-GGA) of an optimized crystal structure of KNaOsCl6.

Cell lengths 6.875, 6.875, 6.633 Å; angles 90.00, 90.00, 120.00 degrees
Atoms (fractional coordinates):
K1 0.000 0.000 0.000
Na1 0.333 0.667 0.500
Os1 0.667 0.333 0.500
Cl1 0.392 0.050 0.706
Cl2 0.392 0.342 0.294
Cl3 0.658 0.050 0.294
Cl4 0.658 0.608 0.706
Cl5 0.950 0.342 0.706
Cl6 0.950 0.608 0.294

SG   No. 149
DOS at the Fermi energy   0.791 states/eV per atom
Raw formation energy   -1069 meV per atom

---

# 8
The following is a DFT calculation (PBE-GGA) of an optimized crystal structure of La6Ir2PdRh.

Cell lengths 7.895, 7.895, 7.895 Å; angles 54.71, 54.71, 54.71 degrees
Atoms (fractional coordinates):
La1 0.004 0.339 0.657
La2 0.167 0.827 0.515
La3 0.339 0.657 0.004
La4 0.515 0.167 0.827
La5 0.657 0.004 0.339
La6 0.827 0.515 0.167
Ir1 0.419 0.419 0.419
Ir2 0.922 0.922 0.922
Pd1 0.083 0.083 0.083
Rh1 0.583 0.583 0.583

Energy relative to the elements   -6.67 eV/f.u.
SG   No. 146
DOS at the Fermi energy   0.566 states/eV per atom

---

# 9
The following is a DFT calculation (PBE-GGA) of an optimized crystal structure of AcTb4Sm2Er.

Cell lengths 5.964, 5.964, 7.598 Å; angles 90.00, 90.00, 90.00 degrees
Atoms (fractional coordinates):
Ac1 0.000 0.000 0.000
Tb1 0.000 0.500 0.263
Tb2 0.000 0.500 0.737
Tb3 0.500 0.000 0.263
Tb4 0.500 0.000 0.737
Sm1 0.000 0.000 0.500
Sm2 0.500 0.500 0.000
Er1 0.500 0.500 0.500

Energy relative to the elements   1.05 eV/f.u.
SG   No. 123
DOS at the Fermi energy   2.163 states/eV per atom

---

# 10
The following is a DFT calculation (PBE-GGA) of an optimized crystal structure of ZrIrAu2.

Cell lengths 3.044, 4.237, 5.520 Å; angles 90.00, 90.07, 90.00 degrees
Atoms (fractional coordinates):
Zr1 0.000 0.000 0.000
Ir1 0.000 0.000 0.500
Au1 0.499 0.500 0.746
Au2 0.501 0.500 0.254

Energy relative to the elements   -1.02 eV/f.u.
SG   No. 10
DOS at the Fermi energy   0.606 states/eV per atom
ΔE to the lowest computed polymorph   208 meV/atom

---

# 11
The following is a DFT calculation (PBE-GGA) of an optimized crystal structure of Mn2BeTePb.

Cell lengths 4.614, 4.614, 4.916 Å; angles 90.00, 90.00, 90.00 degrees
Atoms (fractional coordinates):
Mn1 0.000 0.500 0.000
Mn2 0.500 0.000 0.000
Be1 0.000 0.000 0.000
Te1 0.000 0.000 0.500
Pb1 0.500 0.500 0.500

SG   No. 123
DOS at the Fermi energy   0.779 states/eV per atom
Raw formation energy   611 meV per atom

---

# 12
The following is a DFT calculation (PBE-GGA) of an optimized crystal structure of LiWSe2N.

Cell lengths 5.091, 5.091, 3.827 Å; angles 90.00, 90.00, 90.00 degrees
Atoms (fractional coordinates):
Li1 0.000 0.000 0.000
W1 0.500 0.500 0.500
Se1 0.000 0.500 0.500
Se2 0.500 0.000 0.500
N1 0.500 0.500 0.000

SG   No. 123
DOS at the Fermi energy   0.601 states/eV per atom
ΔE to the lowest computed polymorph   0 meV/atom
Raw formation energy   -143 meV per atom

---

# 13
The following is a DFT calculation (PBE-GGA) of an optimized crystal structure of GeBS.

Cell lengths 4.708, 5.437, 9.609 Å; angles 90.00, 90.00, 90.00 degrees
Atoms (fractional coordinates):
Ge1 0.000 0.238 0.000
Ge2 0.000 0.762 0.000
Ge3 0.500 0.262 0.500
Ge4 0.500 0.738 0.500
B1 0.000 0.500 0.161
B2 0.000 0.500 0.839
B3 0.500 0.000 0.339
B4 0.500 0.000 0.661
S1 0.000 0.500 0.338
S2 0.000 0.500 0.662
S3 0.500 0.000 0.162
S4 0.500 0.000 0.838

SG   No. 71
DOS at the Fermi energy   0.294 states/eV per atom
ΔE to the lowest computed polymorph   0 meV/atom
Raw formation energy   388 meV per atom

---

# 14
The following is a DFT calculation (PBE-GGA) of an optimized crystal structure of SrMgTl2.

Cell lengths 5.062, 5.062, 21.361 Å; angles 90.00, 90.00, 90.00 degrees
Atoms (fractional coordinates):
Sr1 0.000 0.000 0.000
Sr2 0.000 0.500 0.250
Sr3 0.500 0.000 0.750
Sr4 0.500 0.500 0.500
Mg1 0.000 0.000 0.500
Mg2 0.000 0.500 0.750
Mg3 0.500 0.000 0.250
Mg4 0.500 0.500 0.000
Tl1 0.194 0.250 0.625
Tl2 0.250 0.694 0.875
Tl3 0.250 0.806 0.375
Tl4 0.306 0.250 0.125
Tl5 0.694 0.750 0.125
Tl6 0.750 0.194 0.375
Tl7 0.750 0.306 0.875
Tl8 0.806 0.750 0.625

Energy relative to the elements   -0.09 eV/f.u.
SG   No. 122
DOS at the Fermi energy   0.595 states/eV per atom
ΔE to the lowest computed polymorph   252 meV/atom

---

# 15
The following is a DFT calculation (PBE-GGA) of an optimized crystal structure of Li2CeO3.

Cell lengths 6.119, 6.119, 3.841 Å; angles 90.00, 90.00, 113.68 degrees
Atoms (fractional coordinates):
Li1 0.190 0.190 0.000
Li2 0.190 0.190 0.500
Li3 0.810 0.810 0.000
Li4 0.810 0.810 0.500
Ce1 0.249 0.751 0.750
Ce2 0.751 0.249 0.250
O1 0.105 0.895 0.250
O2 0.152 0.441 0.250
O3 0.441 0.152 0.750
O4 0.559 0.848 0.250
O5 0.848 0.559 0.750
O6 0.895 0.105 0.750

SG   No. 63
Raw formation energy   -2376 meV per atom

---

# 16
The following is a DFT calculation (PBE-GGA) of an optimized crystal structure of La2CuAu.

Cell lengths 6.110, 4.718, 7.970 Å; angles 90.00, 111.21, 90.00 degrees
Atoms (fractional coordinates):
La1 0.218 0.250 0.427
La2 0.232 0.250 0.928
La3 0.768 0.750 0.072
La4 0.782 0.750 0.573
Cu1 0.353 0.750 0.707
Cu2 0.647 0.250 0.293
Au1 0.342 0.750 0.212
Au2 0.658 0.250 0.788

Energy relative to the elements   -1.96 eV/f.u.
SG   No. 11
DOS at the Fermi energy   0.835 states/eV per atom

---

# 17
The following is a DFT calculation (PBE-GGA) of an optimized crystal structure of LiCd2Rh.

Cell lengths 9.212, 3.061, 5.094 Å; angles 90.00, 101.05, 90.00 degrees
Atoms (fractional coordinates):
Li1 0.000 0.000 0.000
Li2 0.500 0.500 0.000
Cd1 0.243 0.000 0.745
Cd2 0.257 0.500 0.255
Cd3 0.743 0.500 0.745
Cd4 0.757 0.000 0.255
Rh1 0.000 0.500 0.500
Rh2 0.500 0.000 0.500

Energy relative to the elements   -0.44 eV/f.u.
SG   No. 12
DOS at the Fermi energy   0.541 states/eV per atom
ΔE to the lowest computed polymorph   163 meV/atom

---

# 18
The following is a DFT calculation (PBE-GGA) of an optimized crystal structure of PuScTe2O.

Cell lengths 4.076, 4.076, 14.846 Å; angles 90.00, 90.00, 90.00 degrees
Atoms (fractional coordinates):
Pu1 0.250 0.250 0.076
Pu2 0.750 0.750 0.924
Sc1 0.250 0.250 0.615
Sc2 0.750 0.750 0.385
Te1 0.250 0.250 0.408
Te2 0.250 0.250 0.804
Te3 0.750 0.750 0.196
Te4 0.750 0.750 0.592
O1 0.250 0.750 0.000
O2 0.750 0.250 0.000

SG   No. 129
DOS at the Fermi energy   1.264 states/eV per atom
Raw formation energy   -1796 meV per atom

---

# 19
The following is a DFT calculation (PBE-GGA) of an optimized crystal structure of ZrTi2I.

Cell lengths 4.142, 4.142, 19.992 Å; angles 90.00, 90.00, 90.00 degrees
Atoms (fractional coordinates):
Zr1 0.000 0.000 0.000
Zr2 0.000 0.500 0.250
Zr3 0.500 0.000 0.750
Zr4 0.500 0.500 0.500
Ti1 0.246 0.250 0.625
Ti2 0.250 0.746 0.875
Ti3 0.250 0.754 0.375
Ti4 0.254 0.250 0.125
Ti5 0.746 0.750 0.125
Ti6 0.750 0.246 0.375
Ti7 0.750 0.254 0.875
Ti8 0.754 0.750 0.625
I1 0.000 0.000 0.500
I2 0.000 0.500 0.750
I3 0.500 0.000 0.250
I4 0.500 0.500 0.000

SG   No. 122
DOS at the Fermi energy   1.943 states/eV per atom
ΔE to the lowest computed polymorph   71 meV/atom
Raw formation energy   462 meV per atom

---

# 20
The following is a DFT calculation (PBE-GGA) of an optimized crystal structure of NdY2Tl3.

Cell lengths 3.797, 3.797, 11.739 Å; angles 90.00, 90.00, 90.00 degrees
Atoms (fractional coordinates):
Nd1 0.000 0.000 0.000
Y1 0.000 0.000 0.338
Y2 0.000 0.000 0.662
Tl1 0.500 0.500 0.176
Tl2 0.500 0.500 0.500
Tl3 0.500 0.500 0.824

Energy relative to the elements   -2.32 eV/f.u.
SG   No. 123
DOS at the Fermi energy   0.724 states/eV per atom